[1]
Material: LiCoNiC
Method: DFT, GGA-PBE
State: optimized geometry

Results
As for the space group: F-43m (216). As for the total DFT energy (no corrections): -5.474 eV per atom.

Cell lengths 3.594, 3.594, 3.594 Å; angles 60.00, 60.00, 60.00 degrees
Element x y z (fractional)
Ni1 0.750 0.750 0.750
C1 0.500 0.500 0.500
Co1 0.250 0.250 0.250
Li1 0.000 0.000 0.000

***

[2]
Material: LiCo2NiC
Method: DFT, GGA-PBE
State: optimized geometry

Results
As for the space group: P4/mmm (123). As for the total DFT energy (no corrections): -6.200 eV per atom.

Cell lengths 3.714, 3.714, 3.762 Å; angles 90.00, 90.00, 90.00 degrees
Element x y z (fractional)
Ni1 0.000 0.000 0.500
C1 0.000 0.000 0.000
Co1 0.000 0.500 0.000
Co2 0.500 0.000 0.000
Li1 0.500 0.500 0.500

***

[3]
Material: LiCoNi2C
Method: DFT, GGA-PBE
State: optimized geometry

Results
As for the space group: P4/mmm (123). As for the total DFT energy (no corrections): -5.994 eV per atom.

Cell lengths 3.752, 3.752, 3.692 Å; angles 90.00, 90.00, 90.00 degrees
Element x y z (fractional)
Ni1 0.000 0.500 0.000
Ni2 0.500 0.000 0.000
C1 0.000 0.000 0.000
Co1 0.000 0.000 0.500
Li1 0.500 0.500 0.500

***

Number 1: calculated formation energy 0.533 eV per atom. Number 2: calculated formation energy 0.026 eV per atom. Number 3: calculated formation energy -0.033 eV per atom.